Below is crystalline Y5HgIr4 at its relaxed geometry, with properties calculated at the PBE-GGA level.

Properties
The value obtained for the energy relative to the elements is -0.74 eV/atom. The value obtained for the density of states at the Fermi level is 7.86 states/eV/f.u. The calculation puts the total magnetization at 0.3 μB per formula unit. The calculation puts the final energy at -75.46 eV for the cell shown. For the volume, the calculation gives 21.42 Å³ per atom.

Lattice parameters (Å, degrees): 3.480 3.480 17.684 90.00 90.00 90.00
Fractional coordinates of all 10 atoms:
Y (0.500, 0.500, 0.119)
Y (0.500, 0.500, 0.309)
Y (0.500, 0.500, 0.500)
Y (0.500, 0.500, 0.691)
Y (0.500, 0.500, 0.881)
Hg (0.000, 0.000, 0.000)
Ir (0.000, 0.000, 0.210)
Ir (0.000, 0.000, 0.404)
Ir (0.000, 0.000, 0.596)
Ir (0.000, 0.000, 0.790)

***

Below is crystalline Na2SrSiSe4 at its relaxed geometry, with properties calculated at the PBE-GGA level.

Properties
As for the energy relative to the elements, uncorrected: -87.4 kJ/mol of atoms. The value obtained for the density of states at the Fermi level is 0.54 states/eV/f.u. The calculation puts the total magnetization at 0.0 μB per formula unit. The calculation puts the final energy at -61.85 eV for the cell shown. For the volume, the calculation gives 25.61 Å³ per atom.

Lattice parameters (Å, degrees): 8.392 8.392 8.530 120.56 120.56 91.83
Fractional coordinates of all 16 atoms:
Na (0.500, 0.000, 0.000)
Na (0.500, 0.000, 0.500)
Na (0.000, 0.000, 0.500)
Na (0.500, 0.500, 0.000)
Sr (0.000, 0.500, 0.000)
Sr (0.000, 0.500, 0.500)
Si (0.500, 0.500, 0.500)
Si (0.000, 0.000, 0.000)
Se (0.212, 0.809, 0.010)
Se (0.691, 0.288, 0.490)
Se (0.309, 0.712, 0.510)
Se (0.788, 0.191, 0.990)
Se (0.748, 0.754, 0.963)
Se (0.746, 0.752, 0.537)
Se (0.254, 0.248, 0.463)
Se (0.252, 0.246, 0.037)

***

Below is crystalline LaRe2NiPb at its relaxed geometry, with properties calculated at the PBE-GGA level.

Properties
The value obtained for the energy relative to the elements is 1.04 eV/atom. The value obtained for the density of states at the Fermi level is 6.52 states/eV/f.u. The calculation puts the total magnetization at 2.1 μB per formula unit. The calculation puts the final energy at -34.10 eV for the cell shown. For the volume, the calculation gives 21.66 Å³ per atom.

Lattice parameters (Å, degrees): 4.749 4.802 4.749 90.00 90.00 90.00
Fractional coordinates of all 5 atoms:
Pb (0.000, 0.500, 0.000)
Re (0.000, 0.000, 0.500)
Re (0.500, 0.000, 0.000)
Ni (0.000, 0.000, 0.000)
La (0.500, 0.500, 0.500)

***

Below is crystalline Ta3Os at its relaxed geometry, with properties calculated at the PBE-GGA level.

Properties
The value obtained for the energy relative to the elements is 0.07 eV/atom. The value obtained for the density of states at the Fermi level is 3.99 states/eV/f.u. The calculation puts the total magnetization at 0.0 μB per formula unit. The calculation puts the final energy at -93.04 eV for the cell shown. For the volume, the calculation gives 17.47 Å³ per atom.

Lattice parameters (Å, degrees): 5.679 5.679 5.002 90.00 90.00 120.00
Fractional coordinates of all 8 atoms:
Ta (0.830, 0.170, 0.250)
Ta (0.170, 0.830, 0.750)
Ta (0.830, 0.660, 0.250)
Ta (0.170, 0.340, 0.750)
Ta (0.340, 0.170, 0.250)
Ta (0.660, 0.830, 0.750)
Os (0.333, 0.667, 0.250)
Os (0.667, 0.333, 0.750)

***

Below is crystalline MgNiN2 at its relaxed geometry, with properties calculated at the PBE-GGA level.

Properties
As for the energy relative to the elements, uncorrected: 58.8 kJ/mol of atoms. The value obtained for the density of states at the Fermi level is 0.66 states/eV/f.u. The calculation puts the total magnetization at 0.0 μB per formula unit. The calculation puts the final energy at -21.59 eV for the cell shown. For the volume, the calculation gives 12.78 Å³ per atom.

Lattice parameters (Å, degrees): 5.832 5.832 5.832 32.57 32.57 32.57
Fractional coordinates of all 4 atoms:
Ni (0.000, 0.000, 0.000)
Mg (0.500, 0.500, 0.500)
N (0.899, 0.899, 0.899)
N (0.101, 0.101, 0.101)

***

Below is crystalline CsRb2Pa3Se8 at its relaxed geometry, with properties calculated at the PBE-GGA level.

Properties
As for the energy relative to the elements, uncorrected: -130.7 kJ/mol of atoms. The value obtained for the density of states at the Fermi level is 11.37 states/eV/f.u. The calculation puts the total magnetization at 2.0 μB per formula unit. The calculation puts the final energy at -78.12 eV for the cell shown. For the volume, the calculation gives 38.99 Å³ per atom.

Lattice parameters (Å, degrees): 8.637 8.637 9.810 63.88 63.88 60.00
Fractional coordinates of all 14 atoms:
Cs (0.862, 0.862, 0.413)
Rb (0.133, 0.133, 0.600)
Rb (0.500, 0.500, 0.501)
Pa (0.499, 0.001, 0.001)
Pa (0.001, 0.499, 0.001)
Pa (0.499, 0.499, 0.001)
Se (0.272, 0.272, 0.184)
Se (0.725, 0.725, 0.824)
Se (0.243, 0.243, 0.821)
Se (0.693, 0.243, 0.821)
Se (0.243, 0.693, 0.821)
Se (0.756, 0.309, 0.178)
Se (0.309, 0.756, 0.178)
Se (0.756, 0.756, 0.178)

***

Below is crystalline RhAuBr2 at its relaxed geometry, with properties calculated at the PBE-GGA level.

Properties
As for the energy relative to the elements, uncorrected: 37.0 kJ/mol of atoms. The value obtained for the density of states at the Fermi level is 2.81 states/eV/f.u. The calculation puts the total magnetization at 0.0 μB per formula unit. The calculation puts the final energy at -12.44 eV for the cell shown. The value obtained for the energy above the most stable polymorph in this dataset is 0.358 eV per atom. For the volume, the calculation gives 22.81 Å³ per atom.

Lattice parameters (Å, degrees): 12.026 12.026 12.026 14.21 14.21 14.21
Fractional coordinates of all 4 atoms:
Rh (0.000, 0.000, 0.000)
Au (0.500, 0.500, 0.500)
Br (0.933, 0.933, 0.933)
Br (0.067, 0.067, 0.067)

***

Below is crystalline BeNCl2 at its relaxed geometry, with properties calculated at the PBE-GGA level.

Properties
As for the energy relative to the elements, uncorrected: 43.6 kJ/mol of atoms. The value obtained for the density of states at the Fermi level is 0.00 states/eV/f.u. The calculation puts the total magnetization at 3.0 μB per formula unit. The calculation puts the final energy at -13.94 eV for the cell shown. The value obtained for the energy above the most stable polymorph in this dataset is 0.135 eV per atom. For the volume, the calculation gives 22.70 Å³ per atom.

Lattice parameters (Å, degrees): 9.909 9.909 9.909 19.08 19.08 19.08
Fractional coordinates of all 4 atoms:
Be (0.500, 0.500, 0.500)
N (0.000, 0.000, 0.000)
Cl (0.876, 0.876, 0.876)
Cl (0.124, 0.124, 0.124)